Here is NdZr3P4N12 after structural relaxation from Alexandria via LeMat-Bulk. Energies are from PBE.

Summary:
**Total magnetization**: 0.000 μB per atom
**Crystal system**: trigonal
**E_form (uncorrected)**: -725 meV/atom
**DOS at the Fermi energy**: 8.30 states/eV/f.u.
**Space group**: No. 155

Lattice parameters (Å, degrees): 6.7564 6.7564 6.7564 104.42 104.42 104.42
Element x y z (fractional)
Nd 0.0000 0.0000 0.0000
Zr 0.0000 0.5505 0.4495
Zr 0.4495 0.0000 0.5505
Zr 0.5505 0.4495 0.0000
P 0.0521 0.5000 0.9479
P 0.5000 0.5000 0.5000
P 0.5000 0.9479 0.0521
P 0.9479 0.0521 0.5000
N 0.0295 0.6357 0.7895
N 0.0953 0.9047 0.5000
N 0.2105 0.3643 0.9705
N 0.3529 0.6471 0.5000
N 0.3643 0.9705 0.2105
N 0.5000 0.0953 0.9047
N 0.5000 0.3529 0.6471
N 0.6357 0.7895 0.0295
N 0.6471 0.5000 0.3529
N 0.7895 0.0295 0.6357
N 0.9047 0.5000 0.0953
N 0.9705 0.2105 0.3643